DFT (PBE with a Hubbard U) results for a relaxed Na2TlCrO4 crystal.

Calculated values
SG = No. 10
uncorrected energy = -43.849 eV/cell

Cell lengths 5.6609, 3.2150, 5.8019 Å; angles 90.00, 109.19, 90.00 degrees
Fractional coordinates of all 8 atoms:
Na  0.0000  0.0000  0.0000
Na  0.5000  0.5000  0.0000
Tl  0.0000  0.5000  0.5000
Cr  0.5000  0.0000  0.5000
O  0.2707  0.0000  0.7147
O  0.2906  0.5000  0.2963
O  0.7094  0.5000  0.7037
O  0.7293  0.0000  0.2853